This record from the Alexandria database describes crystalline K3Tm2MoO6 at its relaxed geometry. The functional is PBE with a Hubbard U.

Cell: 5.855 10.139 6.499 Å, 90.00 107.44 90.00°
Space group C2/m (No. 12)
One atom of each set of equivalent atoms:
K 0.000 0.000 0.000 (multiplicity 2)
K 0.000 0.336 0.000 (multiplicity 4)
Tm 0.000 0.167 0.500 (multiplicity 4)
Mo 0.000 0.500 0.500 (multiplicity 2)
O 0.226 0.335 0.684 (multiplicity 8)
O 0.232 0.000 0.683 (multiplicity 4)

Calculated values
Its total energy is -156.3 eV for the cell shown. As for the density: 5.839 g cm⁻³. The volume is 15.3 A^3/atom.